Computed, not measured: crystalline Li4YP2 at its relaxed geometry at the GGA-PBE level of DFT.

Structure (POSCAR):
```
Li4YP2
1.0
7.436 0.000 0.000
0.000 7.436 0.000
0.000 0.000 4.002
Li Y P
8 2 4
Direct
0.097 0.335 0.000
0.165 0.597 0.500
0.335 0.097 0.000
0.403 0.835 0.500
0.597 0.165 0.500
0.665 0.903 0.000
0.835 0.403 0.500
0.903 0.665 0.000
0.000 0.000 0.500
0.500 0.500 0.000
0.210 0.790 0.000
0.290 0.290 0.500
0.710 0.710 0.500
0.790 0.210 0.000
```

ΔH_f (0 K) = -79.0 kJ per mole of atoms
calculated volume = 15.80 Å³/atom
SG = P4_2/mnm (136)

***

Computed, not measured: crystalline LiY2P at its relaxed geometry at the GGA-PBE level of DFT.

Structure (POSCAR):
```
LiY2P
1.0
-1.915 2.085 5.660
1.915 -2.085 5.660
1.915 2.085 -5.660
Li Y P
1 2 1
Direct
0.000 0.000 0.000
0.441 0.441 0.000
0.699 0.199 0.500
0.139 0.639 0.500
```

ΔH_f (0 K) = -52.9 kJ per mole of atoms
calculated volume = 22.61 Å³/atom
SG = Imm2 (44)

***

Computed, not measured: crystalline LiY2P at its relaxed geometry at the GGA-PBE level of DFT.

Structure (POSCAR):
```
LiY2P
1.0
4.038 0.000 0.000
0.000 2.000 5.444
0.000 -2.000 5.444
Li Y P
1 2 1
Direct
0.000 0.000 0.000
0.000 0.703 0.703
0.500 0.414 0.414
0.500 0.132 0.132
```

ΔH_f (0 K) = -71.2 kJ per mole of atoms
calculated volume = 21.98 Å³/atom
SG = Amm2 (38)

***

Computed, not measured: crystalline LiYZnP2 at its relaxed geometry at the GGA-PBE level of DFT.

Structure (POSCAR):
```
LiYZnP2
1.0
4.561 0.000 0.000
0.000 4.561 0.000
0.000 0.000 4.266
Li Y Zn P
1 1 1 2
Direct
0.000 0.000 0.000
0.500 0.500 0.500
0.000 0.000 0.500
0.000 0.500 0.000
0.500 0.000 0.000
```

ΔH_f (0 K) = -17.0 kJ per mole of atoms
calculated volume = 17.75 Å³/atom
SG = P4/mmm (123)